# ScPb

A relaxed structure of ScPb (PBE, Alexandria via LeMat-Bulk).

CIF file:
```
data_ScPb
_space_group_name_H-M_alt 'P 1'
_space_group_IT_number 1
_cell_length_a 6.080
_cell_length_b 6.080
_cell_length_c 6.080
_cell_angle_alpha 138.42
_cell_angle_beta 138.41
_cell_angle_gamma 60.27
loop_
_space_group_symop_operation_xyz
'x,y,z'
loop_
_atom_site_label
_atom_site_type_symbol
_atom_site_fract_x
_atom_site_fract_y
_atom_site_fract_z
Pb1 Pb 0.375 0.625 0.250
Pb2 Pb 0.625 0.375 0.750
Sc1 Sc 0.125 0.875 0.750
Sc2 Sc 0.875 0.125 0.250
```

**ΔE_f**: -409 meV/atom
**Calculated total energy**: -5.4294 eV per atom